Record 1
La8Si3I3N | PBE-GGA | relaxed

Summary:
- E_form (uncorrected) (kJ per mole of atoms) = -87
- VASP energy (eV per atom) = -5.483

Lattice parameters (Å, degrees): 8.525 8.528 9.402 116.98 90.00 119.99
Sites, in units of the cell vectors:
La 0.267 0.533 0.300
Si 0.500 0.000 0.500
I 0.000 0.500 0.000
N 0.000 0.000 0.500
Si 0.000 0.500 0.500
La 0.733 0.467 0.700
La 0.790 0.581 0.317
I 0.000 0.000 0.000
La 0.764 0.974 0.684
La 0.210 0.419 0.683
I 0.500 0.500 0.000
Si 0.500 0.500 0.500
La 0.790 0.026 0.316
La 0.210 0.974 0.684
La 0.236 0.026 0.316

=====

Record 2
Ac3EuRu | PBE-GGA | relaxed

Summary:
- VASP energy (eV per atom) = -6.493

Lattice parameters (Å, degrees): 5.868 5.868 5.868 90.00 90.00 90.00
Each line ends with the local moment (μB).
Sites, in units of the cell vectors:
Eu 0.500 0.500 0.500  6.93
Ac 0.000 0.000 0.500  0.02
Ac 0.000 0.500 0.000  0.02
Ru 0.000 0.000 0.000  -0.01
Ac 0.500 0.000 0.000  0.02

=====

Record 3
SmY3ErTh | PBE-GGA | relaxed

Summary:
- VASP energy (eV per atom) = -5.987

Lattice parameters (Å, degrees): 5.074 7.989 10.691 116.36 90.00 90.00
Sites, in units of the cell vectors:
Th 0.250 0.622 0.122
Sm 0.250 0.122 0.293
Sm 0.750 0.878 0.707
Y 0.250 0.131 0.956
Y 0.750 0.373 0.543
Y 0.250 0.627 0.457
Er 0.250 0.128 0.627
Y 0.750 0.383 0.207
Y 0.250 0.617 0.793
Y 0.750 0.869 0.044
Th 0.750 0.378 0.878
Er 0.750 0.872 0.373

=====

Record 4
Rb2BSI6 | PBE-GGA | relaxed

Summary:
- E_form (uncorrected) (kJ per mole of atoms) = -26
- VASP energy (eV per atom) = -2.473

Lattice parameters (Å, degrees): 7.841 7.841 8.256 61.65 61.65 90.00
Sites, in units of the cell vectors:
I 0.722 0.278 0.000
I 0.722 0.722 0.000
Rb 0.250 0.750 0.500
I 0.221 0.221 0.558
B 0.500 0.500 0.000
S 0.000 0.000 0.000
I 0.278 0.278 0.000
I 0.779 0.779 0.442
Rb 0.750 0.250 0.500
I 0.278 0.722 0.000

=====

Record 5
CuTc2O6 | PBE-GGA | relaxed

Summary:
- E_form (uncorrected) (kJ per mole of atoms) = -106
- VASP energy (eV per atom) = -7.164

Lattice parameters (Å, degrees): 3.950 5.800 6.529 97.00 93.36 115.00
Sites, in units of the cell vectors:
O 0.931 0.832 0.237
O 0.069 0.168 0.763
O 0.757 0.496 0.611
Tc 0.745 0.524 0.311
Cu 0.000 0.000 0.000
O 0.560 0.240 0.126
Tc 0.255 0.476 0.689
O 0.243 0.504 0.389
O 0.440 0.760 0.874